[1]
# NaRe3Sn5, relaxed, DFT PBE
# uncorrected energy: -56.47 eV for the cell shown
# density: 8.86 g cm⁻³
# symmetry: No. 191
data_NaRe3Sn5
_cell_length_a 5.4372
_cell_length_b 5.4372
_cell_length_c 8.6041
_cell_angle_alpha 90.00
_cell_angle_beta 90.00
_cell_angle_gamma 120.00
_symmetry_space_group_name_H-M 'P 1'
_symmetry_Int_Tables_number 1
loop_
_symmetry_equiv_pos_as_xyz
'x,y,z'
loop_
_atom_site_label
_atom_site_type_symbol
_atom_site_fract_x
_atom_site_fract_y
_atom_site_fract_z
Na1 Na 0.0000 0.0000 0.0000
Re1 Re 0.0000 0.5000 0.5000
Re2 Re 0.5000 0.0000 0.5000
Re3 Re 0.5000 0.5000 0.5000
Sn1 Sn 0.0000 0.0000 0.5000
Sn2 Sn 0.3333 0.6667 0.2134
Sn3 Sn 0.3333 0.6667 0.7866
Sn4 Sn 0.6667 0.3333 0.2134
Sn5 Sn 0.6667 0.3333 0.7866



[2]
# ZrTaGe, relaxed, DFT PBE
# uncorrected energy: -25.17 eV for the cell shown
# density: 9.26 g cm⁻³
# symmetry: No. 216
data_ZrTaGe
_cell_length_a 4.4383
_cell_length_b 4.4383
_cell_length_c 4.4383
_cell_angle_alpha 60.00
_cell_angle_beta 60.00
_cell_angle_gamma 60.00
_symmetry_space_group_name_H-M 'P 1'
_symmetry_Int_Tables_number 1
loop_
_symmetry_equiv_pos_as_xyz
'x,y,z'
loop_
_atom_site_label
_atom_site_type_symbol
_atom_site_fract_x
_atom_site_fract_y
_atom_site_fract_z
Zr1 Zr 0.0000 0.0000 0.0000
Ta1 Ta 0.5000 0.5000 0.5000
Ge1 Ge 0.7500 0.7500 0.7500



[3]
# LiSc2Os, relaxed, DFT PBE
# energy above the lowest structure with this stoichiometry: 518 meV/atom
# density: 6.37 g cm⁻³
# symmetry: No. 194
data_LiSc2Os
_cell_length_a 4.7662
_cell_length_b 4.7662
_cell_length_c 7.6032
_cell_angle_alpha 90.00
_cell_angle_beta 90.00
_cell_angle_gamma 120.00
_symmetry_space_group_name_H-M 'P 1'
_symmetry_Int_Tables_number 1
loop_
_symmetry_equiv_pos_as_xyz
'x,y,z'
loop_
_atom_site_label
_atom_site_type_symbol
_atom_site_fract_x
_atom_site_fract_y
_atom_site_fract_z
Li1 Li 0.0000 0.0000 0.0000
Li2 Li 0.0000 0.0000 0.5000
Sc1 Sc 0.3333 0.6667 0.0839
Sc2 Sc 0.3333 0.6667 0.4161
Sc3 Sc 0.6667 0.3333 0.5839
Sc4 Sc 0.6667 0.3333 0.9161
Os1 Os 0.3333 0.6667 0.7500
Os2 Os 0.6667 0.3333 0.2500